[1]
The following is a PBE calculation of PmCoCu2H8 after structural relaxation, from Alexandria.

Computed properties:
spin magnetization: 0.0 μB/f.u.
ρ: 5.785 g cm⁻³
density of states at the Fermi level: 0.9 states/eV/f.u.
final energy: -4.09 eV/atom

Cell lengths 4.4486, 4.5169, 6.0809 Å; angles 52.84, 88.42, 89.80 degrees
With the nearest neighbours (Å) after each atom.
Fractional positions:
H: 0.1014 0.6767 0.2971  1 Co 1.57
H: 0.5037 0.2456 0.4637  1 Cu 1.63
H: 0.8075 0.7012 0.0126  1 Co 1.56
H: 0.7303 0.1086 0.1079  1 Co 1.57
H: 0.1925 0.2988 0.9874  1 Co 1.56
H: 0.2697 0.8914 0.8921  1 Co 1.57
H: 0.8986 0.3233 0.7029  1 Co 1.57
H: 0.4963 0.7544 0.5363  1 Cu 1.63
Cu: 0.5009 0.6958 0.2420  3 H 1.63-1.82
Cu: 0.4991 0.3042 0.7580  3 H 1.63-1.82
Co: 0.0000 0.0000 0.0000  6 H 1.56-1.57
Pm: 0.0000 0.0000 0.5000  12 H 2.42-2.66



[2]
The following is a PBE calculation of Sr2TlPbAu after structural relaxation, from Alexandria.

Computed properties:
spin magnetization: 0.0 μB/f.u.
ρ: 8.067 g cm⁻³
density of states at the Fermi level: 1.5 states/eV/f.u.
final energy: -3.09 eV/atom
ΔH_f (0 K): -0.55 eV per atom

Cell lengths 5.0092, 8.3392, 8.1728 Å; angles 109.06, 90.00, 90.00 degrees
With the nearest neighbours (Å) after each atom.
Fractional positions:
Au: 0.2500 0.9122 0.9434  2 Au 2.90, 1 Tl 2.95, 2 Sr 3.18-3.22
Au: 0.7500 0.0878 0.0566  2 Au 2.90, 1 Tl 2.95, 2 Sr 3.18-3.22
Tl: 0.2500 0.5676 0.6865  1 Au 2.95, 3 Pb 3.24-3.31
Tl: 0.7500 0.4324 0.3135  1 Au 2.95, 3 Pb 3.24-3.31
Sr: 0.7500 0.8725 0.6501  3 Au 3.22-3.41, 2 Pb 3.55
Sr: 0.7500 0.7030 0.0463  3 Au 3.18-3.31, 2 Pb 3.49
Sr: 0.2500 0.1275 0.3499  3 Au 3.22-3.41, 2 Pb 3.55
Sr: 0.2500 0.2970 0.9537  3 Au 3.18-3.31, 2 Pb 3.49
Pb: 0.2500 0.6859 0.3376  3 Tl 3.24-3.31, 4 Sr 3.49-3.55
Pb: 0.7500 0.3141 0.6624  3 Tl 3.24-3.31, 4 Sr 3.49-3.55



[3]
The following is a PBE calculation of AlVFe2 after structural relaxation, from Alexandria.

Computed properties:
spin magnetization: 0.0 μB/f.u.
ρ: 6.797 g cm⁻³
density of states at the Fermi level: 1.3 states/eV/f.u.
final energy: -7.87 eV/atom
ΔH_f (0 K): -0.43 eV per atom

Cell lengths 4.0312, 4.0312, 4.0312 Å; angles 60.00, 60.00, 60.00 degrees
With the nearest neighbours (Å) after each atom.
Fractional positions:
Fe: 0.7500 0.7500 0.7500  4 V 2.47, 4 Al 2.47
Fe: 0.2500 0.2500 0.2500  4 Al 2.47, 4 V 2.47
V: 0.5000 0.5000 0.5000  8 Fe 2.47
Al: 0.0000 0.0000 0.0000  8 Fe 2.47



[4]
The following is a PBE calculation of PuBi2O6 after structural relaxation, from Alexandria.

Computed properties:
spin magnetization: 2.0 μB/f.u.
ρ: 8.532 g cm⁻³
density of states at the Fermi level: 4.9 states/eV/f.u.
final energy: -7.58 eV/atom

Cell lengths 5.2402, 5.2402, 10.7442 Å; angles 90.00, 90.00, 90.00 degrees
With the nearest neighbours (Å) after each atom.
Fractional positions:
O: 0.6829 0.6829 0.8589  1 Pu 2.03
O: 0.1829 0.8171 0.3589  1 Pu 2.03
O: 0.3171 0.3171 0.1411  1 Pu 2.03
O: 0.1991 0.8009 0.0000  1 Pu 2.23, 2 Bi 2.25
O: 0.1829 0.8171 0.6411  1 Pu 2.03
O: 0.6991 0.6991 0.5000  1 Pu 2.23, 2 Bi 2.25
O: 0.6829 0.6829 0.1411  1 Pu 2.03
O: 0.8171 0.1829 0.3589  1 Pu 2.03
O: 0.8171 0.1829 0.6411  1 Pu 2.03
O: 0.3009 0.3009 0.5000  1 Pu 2.23, 2 Bi 2.25
O: 0.3171 0.3171 0.8589  1 Pu 2.03
O: 0.8009 0.1991 0.0000  1 Pu 2.23, 2 Bi 2.25
Bi: 0.5000 0.5000 0.6585  4 O 2.25-2.36
Bi: 0.0000 0.0000 0.1585  4 O 2.25-2.36
Bi: 0.0000 0.0000 0.8415  4 O 2.25-2.36
Bi: 0.5000 0.5000 0.3415  4 O 2.25-2.36
Pu: 0.0000 0.0000 0.5000  6 O 2.03-2.23
Pu: 0.5000 0.5000 0.0000  6 O 2.03-2.23



[5]
The following is a PBE calculation of TbTlSnAu after structural relaxation, from Alexandria.

Computed properties:
spin magnetization: 0.0 μB/f.u.
ρ: 11.389 g cm⁻³
density of states at the Fermi level: 2.7 states/eV/f.u.
final energy: -3.90 eV/atom
ΔH_f (0 K): -0.33 eV per atom

Cell lengths 5.1926, 5.1926, 5.1926 Å; angles 60.00, 60.00, 60.00 degrees
With the nearest neighbours (Å) after each atom.
Fractional positions:
Au: 0.5000 0.5000 0.5000  4 Tb 3.18, 4 Sn 3.18
Tl: 0.0000 0.0000 0.0000  4 Sn 3.18, 4 Tb 3.18
Sn: 0.2500 0.2500 0.2500  4 Au 3.18, 4 Tl 3.18
Tb: 0.7500 0.7500 0.7500  4 Tl 3.18, 4 Au 3.18



[6]
The following is a PBE calculation of YV2Au2 after structural relaxation, from Alexandria.

Computed properties:
spin magnetization: 0.0 μB/f.u.
ρ: 10.228 g cm⁻³
density of states at the Fermi level: 7.7 states/eV/f.u.
final energy: -6.36 eV/atom
ΔH_f (0 K): -0.11 eV per atom

Cell lengths 3.6533, 3.6533, 7.5672 Å; angles 76.03, 76.03, 90.00 degrees
With the nearest neighbours (Å) after each atom.
Fractional positions:
V: 0.7500 0.2500 0.5000  4 V 2.58, 4 Au 2.78
V: 0.2500 0.7500 0.5000  4 V 2.58, 4 Au 2.78
Au: 0.6028 0.6028 0.7944  4 V 2.78, 1 Au 2.92, 4 Y 2.97
Au: 0.3972 0.3972 0.2056  4 V 2.78, 1 Au 2.92, 4 Y 2.97
Y: 0.0000 0.0000 0.0000  8 Au 2.97